## AcLaTb6 (GGA-PBE)

Data for a geometry-optimized AcLaTb6 structure.

As for the magnetization: 0.0 μB per formula unit. The energy comes out at -4.21 eV per atom. As for the formation energy: 391.4 meV per atom. The value obtained for the density of states at the Fermi level is 2.056 states/eV/atom.

Cell and atoms, written as CIF:
```
data_AcLaTb6
_chemical_formula_sum 'Ac2 La2 Tb12'
_symmetry_space_group_name_H-M 'C 1 2/m 1'
_symmetry_Int_Tables_number 12
_cell_length_a 9.868
_cell_length_b 6.974
_cell_length_c 8.974
_cell_angle_alpha 90.00
_cell_angle_beta 102.81
_cell_angle_gamma 90.00
loop_
_symmetry_equiv_pos_as_xyz
'x,y,z'
'-x,-y,-z'
'-x,y,-z'
'x,-y,z'
'x+1/2,y+1/2,z'
'-x+1/2,-y+1/2,-z'
'-x+1/2,y+1/2,-z'
'x+1/2,-y+1/2,z'
loop_
_atom_site_label
_atom_site_type_symbol
_atom_site_fract_x
_atom_site_fract_y
_atom_site_fract_z
_atom_site_occupancy
Ac1 Ac 0.000 0.000 0.000 1
La1 La 0.000 0.500 0.500 1
Tb1 Tb 0.122 0.500 0.919 1
Tb2 Tb 0.216 0.261 0.298 1
```